Ca2Ac8Ho | PBE-GGA | optimized geometry

For the density of states at the Fermi level, the calculation gives 33.1 states/eV/cell. The value obtained for the energy is -3.6020 eV/atom. The calculation puts the total magnetization at 0.00 μB per formula unit. For the formation enthalpy at 0 K, the calculation gives 16 kJ per mole of atoms.

The structure belongs to space group Cmmm (No. 65); the cell edges are 11.2150, 14.6437 and 5.9502 Å and the angles 90.00°, 90.00° and 90.00°. Symmetry generates all atoms from Ca at (0.0000, 0.1177, 0.0000), Ac at (0.0000, 0.2519, 0.5000), Ac at (0.1664, 0.3678, 0.0000), Ac at (0.1755, 0.0000, 0.5000) and Ho at (0.0000, 0.5000, 0.5000).